First-principles (GGA-PBE) data for a relaxed structure of Th4GaAuSe2, as listed in Alexandria via LeMat-Bulk.

a b c (Å): 7.290 4.298 7.554
angles (deg): 90.00 109.70 90.00
Fractional coordinates of all 8 atoms:
Th  0.245  0.000  0.245
Th  0.245  0.500  0.751
Th  0.755  0.000  0.755
Th  0.755  0.500  0.249
Ga  0.000  0.500  0.000
Au  0.000  0.000  0.500
Se  0.500  0.000  0.000
Se  0.500  0.500  0.500

Values from the calculation:
The electronic total energy comes out at -6.36 eV/atom. The calculation puts the uncorrected formation energy at -0.9919 eV per atom. Its space group is P2/m, No. 10.



First-principles (GGA-PBE) data for a relaxed structure of AsIrAuClO, as listed in Alexandria via LeMat-Bulk.

a b c (Å): 4.128 4.851 5.349
angles (deg): 89.07 67.39 89.96
Fractional coordinates of all 5 atoms:
As  0.000  0.000  0.000
Ir  0.300  0.220  0.401
Au  0.590  0.212  0.820
Cl  0.268  0.713  0.469
O  0.847  0.222  0.306

Values from the calculation:
The electronic total energy comes out at -4.68 eV/atom. The energy above the most stable polymorph in this dataset is 0.340 eV/atom. The calculation puts the uncorrected formation energy at 0.0428 eV per atom. Its space group is P1, No. 1.



First-principles (GGA-PBE) data for a relaxed structure of KMg2Al, as listed in Alexandria via LeMat-Bulk.

a b c (Å): 5.319 5.319 5.319
angles (deg): 60.00 60.00 60.00
Fractional coordinates of all 4 atoms:
K  0.000  0.000  0.000
Mg  0.500  0.500  0.500
Mg  0.750  0.750  0.750
Al  0.250  0.250  0.250

Values from the calculation:
For the energy relative to the elements, the calculation gives 292 meV per atom. The electronic total energy comes out at -1.72 eV/atom. Its space group is F-43m, No. 216.



First-principles (GGA-PBE) data for a relaxed structure of Nb3NiRh6, as listed in Alexandria via LeMat-Bulk.

a b c (Å): 5.293 5.293 7.786
angles (deg): 115.28 115.28 58.77
Fractional coordinates of all 10 atoms:
Nb  0.000  0.000  0.000
Nb  0.158  0.158  0.721
Nb  0.842  0.842  0.279
Ni  0.500  0.500  0.500
Rh  0.131  0.632  0.671
Rh  0.322  0.322  0.097
Rh  0.368  0.869  0.329
Rh  0.632  0.131  0.671
Rh  0.678  0.678  0.903
Rh  0.869  0.368  0.329

Values from the calculation:
For the energy relative to the elements, the calculation gives -56 meV per atom. The electronic total energy comes out at -8.07 eV/atom. Its space group is C2/m, No. 12.



First-principles (GGA-PBE) data for a relaxed structure of IrPtAu2, as listed in Alexandria via LeMat-Bulk.

a b c (Å): 9.633 9.633 9.633
angles (deg): 16.94 16.94 16.94
Fractional coordinates of all 4 atoms:
Ir  0.000  0.000  0.000
Pt  0.744  0.744  0.744
Au  0.250  0.250  0.250
Au  0.496  0.496  0.496

Values from the calculation:
For the energy relative to the elements, the calculation gives 170 meV per atom. The electronic total energy comes out at -5.19 eV/atom. The energy above the most stable polymorph in this dataset is 0.004 eV/atom. Its space group is R3m, No. 160.



First-principles (GGA-PBE) data for a relaxed structure of Pm2UPd9, as listed in Alexandria via LeMat-Bulk.

a b c (Å): 4.164 4.164 12.492
angles (deg): 90.00 90.00 90.00
Fractional coordinates of all 12 atoms:
Pm  0.000  0.000  0.165
Pm  0.000  0.000  0.835
U  0.000  0.000  0.500
Pd  0.000  0.500  0.000
Pd  0.000  0.500  0.341
Pd  0.000  0.500  0.659
Pd  0.500  0.000  0.000
Pd  0.500  0.000  0.341
Pd  0.500  0.000  0.659
Pd  0.500  0.500  0.170
Pd  0.500  0.500  0.500
Pd  0.500  0.500  0.830

Values from the calculation:
For the energy relative to the elements, the calculation gives -738 meV per atom. The electronic total energy comes out at -6.36 eV/atom. Its space group is P4/mmm, No. 123.



First-principles (GGA-PBE) data for a relaxed structure of Tb5Pm3Sm2, as listed in Alexandria via LeMat-Bulk.

a b c (Å): 9.976 9.976 9.976
angles (deg): 123.57 93.03 113.21
Fractional coordinates of all 20 atoms:
Tb  0.001  0.250  0.751
Tb  0.123  0.091  0.214
Tb  0.250  0.250  0.000
Tb  0.377  0.591  0.968
Tb  0.499  0.250  0.249
Tb  0.501  0.750  0.751
Tb  0.623  0.409  0.032
Tb  0.750  0.750  0.000
Tb  0.877  0.909  0.786
Tb  0.999  0.750  0.249
Pm  0.127  0.750  0.877
Pm  0.250  0.750  0.500
Pm  0.373  0.250  0.623
Pm  0.627  0.750  0.377
Pm  0.750  0.250  0.500
Pm  0.873  0.250  0.123
Sm  0.126  0.401  0.527
Sm  0.374  0.901  0.276
Sm  0.626  0.099  0.724
Sm  0.874  0.599  0.473

Values from the calculation:
For the energy relative to the elements, the calculation gives 383 meV per atom. The electronic total energy comes out at -4.30 eV/atom. The energy above the most stable polymorph in this dataset is 0.196 eV/atom. Its space group is Ibam, No. 72.



First-principles (GGA-PBE) data for a relaxed structure of AcSm3S6, as listed in Alexandria via LeMat-Bulk.

a b c (Å): 11.363 4.144 11.680
angles (deg): 90.00 108.54 90.00
Fractional coordinates of all 20 atoms:
Ac  0.053  0.250  0.195
Ac  0.947  0.750  0.805
Sm  0.162  0.250  0.589
Sm  0.321  0.750  0.998
Sm  0.448  0.250  0.333
Sm  0.552  0.750  0.667
Sm  0.679  0.250  0.002
Sm  0.838  0.750  0.411
S  0.083  0.750  0.408
S  0.121  0.250  0.962
S  0.197  0.750  0.748
S  0.271  0.750  0.230
S  0.394  0.250  0.555
S  0.478  0.250  0.109
S  0.522  0.750  0.891
S  0.606  0.750  0.445
S  0.729  0.250  0.770
S  0.803  0.250  0.252
S  0.879  0.750  0.038
S  0.917  0.250  0.592

Values from the calculation:
The electronic total energy comes out at -6.41 eV/atom. The calculation puts the uncorrected formation energy at -2.1083 eV per atom. Its space group is P2_1/m, No. 11.



First-principles (GGA-PBE) data for a relaxed structure of V4Ga2W, as listed in Alexandria via LeMat-Bulk.

a b c (Å): 7.335 7.335 7.335
angles (deg): 143.88 143.88 52.00
Fractional coordinates of all 7 atoms:
V  0.000  0.500  0.500
V  0.185  0.185  0.000
V  0.500  0.000  0.500
V  0.815  0.815  0.000
Ga  0.380  0.380  0.000
Ga  0.620  0.620  0.000
W  0.000  0.000  0.000

Values from the calculation:
For the energy relative to the elements, the calculation gives 1041 meV per atom. The electronic total energy comes out at -6.88 eV/atom. Its space group is I4/mmm, No. 139.



First-principles (GGA-PBE) data for a relaxed structure of Li2ScAg6, as listed in Alexandria via LeMat-Bulk.

a b c (Å): 8.231 8.231 5.005
angles (deg): 97.31 97.31 72.21
Fractional coordinates of all 18 atoms:
Li  0.043  0.292  0.090
Li  0.292  0.043  0.590
Li  0.708  0.957  0.410
Li  0.957  0.708  0.910
Sc  0.375  0.625  0.750
Sc  0.625  0.375  0.250
Ag  0.063  0.824  0.472
Ag  0.146  0.401  0.650
Ag  0.176  0.937  0.028
Ag  0.255  0.513  0.197
Ag  0.401  0.146  0.150
Ag  0.487  0.745  0.303
Ag  0.513  0.255  0.697
Ag  0.599  0.854  0.850
Ag  0.745  0.487  0.803
Ag  0.824  0.063  0.972
Ag  0.854  0.599  0.350
Ag  0.937  0.176  0.528

Values from the calculation:
For the energy relative to the elements, the calculation gives -156 meV per atom. The electronic total energy comes out at -3.19 eV/atom. Its space group is C2/c, No. 15.



First-principles (GGA-PBE) data for a relaxed structure of MnSb2TeBr, as listed in Alexandria via LeMat-Bulk.

a b c (Å): 5.413 5.413 5.620
angles (deg): 90.00 90.00 90.00
Fractional coordinates of all 5 atoms:
Mn  0.000  0.000  0.000
Sb  0.000  0.500  0.500
Sb  0.500  0.000  0.500
Te  0.500  0.500  0.000
Br  0.500  0.500  0.500

Values from the calculation:
The electronic total energy comes out at -2.74 eV/atom. The energy above the most stable polymorph in this dataset is 1.476 eV/atom. The calculation puts the uncorrected formation energy at 1.7042 eV per atom. Its space group is P4/mmm, No. 123.



First-principles (GGA-PBE) data for a relaxed structure of BaAlRh2, as listed in Alexandria via LeMat-Bulk.

a b c (Å): 4.699 4.699 3.571
angles (deg): 90.00 90.00 90.06
Fractional coordinates of all 4 atoms:
Ba  0.000  0.000  0.000
Al  0.500  0.500  0.000
Rh  0.000  0.500  0.500
Rh  0.500  0.000  0.500

Values from the calculation:
For the energy relative to the elements, the calculation gives 24 meV per atom. The electronic total energy comes out at -5.07 eV/atom. The energy above the most stable polymorph in this dataset is 0.495 eV/atom. Its space group is Cmmm, No. 65.



First-principles (GGA-PBE) data for a relaxed structure of SrGa9Co2, as listed in Alexandria via LeMat-Bulk.

a b c (Å): 7.930 7.930 3.895
angles (deg): 90.00 90.00 120.00
Fractional coordinates of all 12 atoms:
Sr  0.000  0.000  0.000
Ga  0.000  0.500  0.000
Ga  0.208  0.417  0.500
Ga  0.208  0.792  0.500
Ga  0.417  0.208  0.500
Ga  0.500  0.000  0.000
Ga  0.500  0.500  0.000
Ga  0.583  0.792  0.500
Ga  0.792  0.208  0.500
Ga  0.792  0.583  0.500
Co  0.333  0.667  0.000
Co  0.667  0.333  0.000

Values from the calculation:
For the energy relative to the elements, the calculation gives -329 meV per atom. The electronic total energy comes out at -3.92 eV/atom. The energy above the most stable polymorph in this dataset is 0.000 eV/atom. Its space group is P6/mmm, No. 191.



First-principles (GGA-PBE) data for a relaxed structure of Rb2TlAu, as listed in Alexandria via LeMat-Bulk.

a b c (Å): 4.229 4.229 8.986
angles (deg): 90.00 90.00 90.00
Fractional coordinates of all 4 atoms:
Rb  0.000  0.000  0.220
Rb  0.000  0.000  0.780
Tl  0.500  0.500  0.500
Au  0.500  0.500  0.000

Values from the calculation:
For the energy relative to the elements, the calculation gives -100 meV per atom. The electronic total energy comes out at -1.99 eV/atom. The energy above the most stable polymorph in this dataset is 0.071 eV/atom. Its space group is P4/mmm, No. 123.



First-principles (GGA-PBE) data for a relaxed structure of RbNaSN2, as listed in Alexandria via LeMat-Bulk.

a b c (Å): 5.352 5.352 6.214
angles (deg): 90.00 90.00 90.00
Fractional coordinates of all 5 atoms:
Rb  0.000  0.000  0.000
Na  0.500  0.500  0.500
S  0.000  0.000  0.500
N  0.000  0.500  0.000
N  0.500  0.000  0.000

Values from the calculation:
The electronic total energy comes out at -2.89 eV/atom. The energy above the most stable polymorph in this dataset is 0.385 eV/atom. The calculation puts the uncorrected formation energy at 1.7229 eV per atom. Its space group is P4/mmm, No. 123.



First-principles (GGA-PBE) data for a relaxed structure of MgSiB2, as listed in Alexandria via LeMat-Bulk.

a b c (Å): 4.579 4.828 5.370
angles (deg): 72.67 80.67 64.19
Fractional coordinates of all 8 atoms:
Mg  0.000  0.000  0.000
Mg  0.140  0.299  0.386
Si  0.466  0.649  0.425
Si  0.657  0.825  0.718
B  0.067  0.496  0.923
B  0.406  0.286  0.730
B  0.437  0.470  0.950
B  0.711  0.504  0.094

Values from the calculation:
The electronic total energy comes out at -4.98 eV/atom. The energy above the most stable polymorph in this dataset is 0.000 eV/atom. The calculation puts the uncorrected formation energy at 0.1163 eV per atom. Its space group is P1, No. 1.



First-principles (GGA-PBE) data for a relaxed structure of LiTlMo2, as listed in Alexandria via LeMat-Bulk.

a b c (Å): 2.863 4.147 5.987
angles (deg): 90.00 100.46 90.00
Fractional coordinates of all 4 atoms:
Li  0.000  0.000  0.000
Tl  0.491  0.500  0.763
Mo  0.474  0.500  0.255
Mo  0.844  0.000  0.457

Values from the calculation:
For the energy relative to the elements, the calculation gives 370 meV per atom. The electronic total energy comes out at -6.12 eV/atom. The energy above the most stable polymorph in this dataset is 0.086 eV/atom. Its space group is Pm, No. 6.